No. 1
A relaxed structure of BaCoP2S, computed with PBE.

```
BaCoP2S
1.0
5.569 0.000 0.000
0.000 5.569 0.000
0.000 0.000 5.635
P S Co Ba
2 1 1 1
Cartesian
0.000 2.784 0.000
2.784 0.000 0.000
0.000 0.000 2.817
2.784 2.784 2.817
0.000 0.000 0.000
```

Calculated values
Symmetry ... P4/mmm (123)
Uncorrected formation energy ... 1.75 eV/atom
Total magnetization ... 3.4 μB/f.u.
Energy above the most stable polymorph in this dataset ... 10.697 eV/f.u.

No. 2
A relaxed structure of BaCo2SiP6, computed with PBE.

```
BaCo2SiP6
1.0
6.166 0.000 0.000
3.083 5.340 0.000
3.083 1.780 6.257
Ba Co Si P
1 2 1 6
Cartesian
0.000 0.000 0.000
9.249 5.340 5.963
3.083 1.780 0.293
6.166 3.560 3.128
4.812 4.341 4.920
6.166 1.996 4.920
4.812 2.778 1.337
7.520 2.778 1.337
6.166 5.123 1.337
7.520 4.342 4.920
```

Calculated values
Symmetry ... R-3m (166)
Uncorrected formation energy ... -0.22 eV/atom
Total magnetization ... 0.0 μB/f.u.

No. 3
A relaxed structure of BaCoSnP, computed with PBE.

```
BaCoSnP
1.0
-0.879 2.803 -2.814
-3.719 0.431 1.591
4.085 8.546 7.234
Ba Co Sn P
2 2 2 2
Cartesian
-2.507 4.395 0.749
1.994 7.385 5.261
-1.589 2.210 -1.713
-3.009 1.024 0.490
-0.966 5.297 4.106
0.454 6.482 1.904
0.280 10.225 5.685
-0.793 1.554 0.325
```

Calculated values
Formation enthalpy at 0 K ... -0.59 eV per atom
Symmetry ... P4/nmm (129)
Total magnetization ... 0.9 μB/f.u.